# 1
PuThPt2: relaxed, PBE-GGA.

Cell lengths 4.391, 3.936, 11.001 Å; angles 90.00, 90.00, 90.00 degrees
Space group Amm2 (No. 38)
One atom of each set of equivalent atoms:
1 Pu 0.000 0.000 0.000 [2 per cell]
2 Th 0.500 0.000 0.272 [2 per cell]
3 Pt 0.000 0.000 0.731 [2 per cell]
4 Pt 0.500 0.000 0.541 [2 per cell]

Properties
- Calculated volume: 23.76 Å³ per atom
- Final energy: -9.471 eV/atom
- E above lowest polymorph: 0 meV per atom
- Crystal system: orthorhombic

---

# 2
PuPaP: relaxed, PBE-GGA.

Cell lengths 3.766, 3.766, 8.801 Å; angles 90.00, 90.00, 90.00 degrees
Space group I4mm (No. 107)
One atom of each set of equivalent atoms:
1 Pu 0.000 0.000 0.000 [2 per cell]
2 Pa 0.000 0.000 0.299 [2 per cell]
3 P 0.000 0.000 0.647 [2 per cell]

Properties
- Calculated volume: 20.81 Å³ per atom
- Final energy: -10.414 eV/atom
- E above lowest polymorph: 0 meV per atom
- Crystal system: tetragonal